This record from Alexandria via LeMat-Bulk describes crystalline Ce7Ga2Pt2 at its relaxed geometry. The functional is PBE-GGA.

The calculation puts the density of states at the Fermi level at 2.59 states/eV/atom. For the total DFT energy (no corrections), the calculation gives -5.888 eV/atom.

It has space group Cmmm (No. 65), with a = 8.052 Å, b = 10.771 Å, c = 6.763 Å, α = 90.00°, β = 90.00° and γ = 90.00°. The distinct sites, in fractional coordinates, are Ce at (0.000, 0.000, 0.000), Ce at (0.000, 0.500, 0.296), Ce at (0.250, 0.250, 0.293), Ga at (0.155, 0.000, 0.500) and Pt at (0.000, 0.289, 0.000).

=====

This record from Alexandria via LeMat-Bulk describes crystalline Sr2BiTeS at its relaxed geometry. The functional is PBE-GGA.

The calculation puts the density of states at the Fermi level at 0.57 states/eV/atom. The calculation puts the formation energy (no corrections) at -12.822 kcal/mol of atoms.

It has space group P4/mmm (No. 123), with a = 6.380 Å, b = 6.380 Å, c = 5.128 Å, α = 90.00°, β = 90.00° and γ = 90.00°. The distinct sites, in fractional coordinates, are Sr at (0.000, 0.500, 0.000), Bi at (0.000, 0.000, 0.000), Te at (0.500, 0.500, 0.500) and S at (0.000, 0.000, 0.500).

=====

This record from Alexandria via LeMat-Bulk describes crystalline InCuSn2S at its relaxed geometry. The functional is PBE-GGA.

The calculation puts the density of states at the Fermi level at 0.36 states/eV/atom. The calculation puts the formation energy (no corrections) at 17.295 kcal/mol of atoms.

It has space group P4/mmm (No. 123), with a = 5.367 Å, b = 5.367 Å, c = 4.659 Å, α = 90.00°, β = 90.00° and γ = 90.00°. The distinct sites, in fractional coordinates, are In at (0.000, 0.000, 0.000), Cu at (0.000, 0.000, 0.500), Sn at (0.000, 0.500, 0.000) and S at (0.500, 0.500, 0.500).

=====

This record from Alexandria via LeMat-Bulk describes crystalline Er2ScTa at its relaxed geometry. The functional is PBE-GGA.

The calculation puts the density of states at the Fermi level at 1.22 states/eV/atom. For the total DFT energy (no corrections), the calculation gives -6.291 eV/atom.

It has space group R-3m (No. 166, hexagonal axes), with a = 3.1860 Å, b = 3.1860 Å, c = 33.9877 Å, α = 90.00°, β = 90.00° and γ = 120.00°. The distinct sites, in fractional coordinates, are Er at (0.0000, 0.0000, 0.0868), Sc at (0.0000, 0.0000, 0.5000) and Ta at (0.0000, 0.0000, 0.0000).

=====

This record from Alexandria via LeMat-Bulk describes crystalline TaCdGe2Ir at its relaxed geometry. The functional is PBE-GGA.

The calculation puts the density of states at the Fermi level at 0.95 states/eV/atom. For the total DFT energy (no corrections), the calculation gives -5.206 eV/atom.

It has space group P4/mmm (No. 123), with a = 4.688 Å, b = 4.688 Å, c = 5.169 Å, α = 90.00°, β = 90.00° and γ = 90.00°. The distinct sites, in fractional coordinates, are Ta at (0.000, 0.000, 0.000), Cd at (0.500, 0.500, 0.000), Ge at (0.000, 0.500, 0.500) and Ir at (0.500, 0.500, 0.500).

=====

This record from Alexandria via LeMat-Bulk describes crystalline B2C at its relaxed geometry. The functional is PBE-GGA.

The calculation puts the density of states at the Fermi level at 0.19 states/eV/atom. For the total DFT energy (no corrections), the calculation gives -7.080 eV/atom.

It has space group C222_1 (No. 20), with a = 4.155 Å, b = 11.418 Å, c = 3.768 Å, α = 90.00°, β = 90.00° and γ = 90.00°. The distinct sites, in fractional coordinates, are B at (0.000, 0.043, 0.250), B at (0.196, 0.500, 0.000), B at (0.205, 0.316, 0.464), C at (0.000, 0.242, 0.750) and C at (0.000, 0.415, 0.250).

=====

This record from Alexandria via LeMat-Bulk describes crystalline MgBe2NbCo at its relaxed geometry. The functional is PBE-GGA.

The calculation puts the density of states at the Fermi level at 0.70 states/eV/atom. For the total DFT energy (no corrections), the calculation gives -4.816 eV/atom.

It has space group P4/mmm (No. 123), with a = 4.164 Å, b = 4.164 Å, c = 4.457 Å, α = 90.00°, β = 90.00° and γ = 90.00°. The distinct sites, in fractional coordinates, are Mg at (0.000, 0.000, 0.000), Be at (0.000, 0.500, 0.500), Nb at (0.500, 0.500, 0.000) and Co at (0.500, 0.500, 0.500).

=====

This record from Alexandria via LeMat-Bulk describes crystalline SrPb3 at its relaxed geometry. The functional is PBE-GGA.

The calculation puts the density of states at the Fermi level at 0.60 states/eV/atom. For the total DFT energy (no corrections), the calculation gives -3.459 eV/atom.

It has space group C2/m (No. 12), with a = 11.656 Å, b = 4.060 Å, c = 5.863 Å, α = 90.00°, β = 106.69° and γ = 90.00°. The distinct sites, in fractional coordinates, are Sr at (0.000, 0.000, 0.000), Pb at (0.000, 0.500, 0.500) and Pb at (0.242, 0.000, 0.718).